Computed, not measured: a relaxed structure of NdY2Co6 at the PBE level of DFT.

## Properties
energy of formation from the pure elements: -1.239 eV/f.u.
crystal system: hexagonal
DOS(E_F): 6.96 states/eV/f.u.

Cell lengths 6.6940, 6.6940, 4.1157 Å; angles 90.00, 90.00, 120.00 degrees
Space group P6/mmm (No. 191)
Asymmetric unit:
Nd 0.0000 0.0000 0.0000 [1 per cell]
Y 0.3333 0.6667 0.0000 [2 per cell]
Co 0.0000 0.3350 0.5000 [6 per cell]

***

Computed, not measured: a relaxed structure of NaMn2CoH at the PBE level of DFT.

## Properties
crystal system: tetragonal
DOS(E_F): 6.03 states/eV/f.u.

Cell lengths 4.347, 4.347, 5.530 Å; angles 90.00, 90.00, 90.00 degrees
Space group P4/mmm (No. 123)
Asymmetric unit:
Na 0.000 0.000 0.000 [1 per cell]
Mn 0.000 0.500 0.500 [2 per cell]
Co 0.000 0.000 0.500 [1 per cell]
H 0.500 0.500 0.000 [1 per cell]

***

Uncorrected energy, record by record: -6.841, -4.802 eV per atom